A relaxed structure of TbTh2Si2Rh7. Source: Alexandria via LeMat-Bulk, functional PBE.

```
TbTh2Si2Rh7
1.0
2.916 -2.882 0.000
2.916 2.882 0.000
-1.823 0.000 12.965
Tb Th Si Rh
1 2 2 7
Cartesian
0.000 0.000 0.000
-0.056 0.000 4.509
4.064 0.000 8.456
1.101 0.000 9.701
2.907 0.000 3.264
1.453 1.440 2.119
0.997 0.000 7.363
2.555 1.440 10.847
2.916 0.000 0.000
1.453 -1.440 2.119
3.012 0.000 5.602
2.555 -1.440 10.847
```

density of states at the Fermi level: 5.8 states/eV/f.u.
space group: No. 12

---

A relaxed structure of Tb2TlSi2Rh5. Source: Alexandria via LeMat-Bulk, functional PBE.

```
Tb2TlSi2Rh5
1.0
9.868 0.000 0.000
0.000 9.868 0.000
0.000 0.000 3.540
Tb Tl Si Rh
4 2 4 10
Cartesian
1.735 3.198 0.000
3.198 8.132 0.000
6.669 1.735 0.000
8.132 6.669 0.000
0.000 0.000 0.000
4.934 4.934 0.000
1.197 6.131 0.000
3.737 1.197 0.000
6.131 8.671 0.000
8.671 3.737 0.000
0.000 4.934 1.770
0.689 7.695 1.770
2.173 0.689 1.770
2.761 5.623 1.770
4.244 2.761 1.770
4.934 0.000 1.770
5.623 7.107 1.770
7.107 4.244 1.770
7.695 9.178 1.770
9.178 2.173 1.770
```

density of states at the Fermi level: 3.8 states/eV/f.u.
space group: No. 127

---

A relaxed structure of TbTmSiRh. Source: Alexandria via LeMat-Bulk, functional PBE.

```
TbTmSiRh
1.0
4.016 0.000 0.000
0.000 4.093 0.000
0.000 0.000 10.495
Tb Tm Si Rh
2 2 2 2
Cartesian
0.000 0.000 0.000
0.000 2.047 5.248
2.008 0.000 7.543
2.008 2.047 2.295
0.000 0.000 3.017
0.000 2.047 8.265
2.008 0.000 4.549
2.008 2.047 9.797
```

density of states at the Fermi level: 2.5 states/eV/f.u.
space group: No. 38

---

A relaxed structure of TbYSiRh. Source: Alexandria via LeMat-Bulk, functional PBE.

```
TbYSiRh
1.0
4.066 0.000 0.000
0.000 4.150 0.000
0.000 0.000 10.474
Tb Y Si Rh
2 2 2 2
Cartesian
0.000 0.000 0.000
0.000 2.075 5.237
2.033 0.000 2.952
2.033 2.075 8.189
2.033 0.000 6.004
2.033 2.075 0.767
0.000 0.000 7.498
0.000 2.075 2.261
```

density of states at the Fermi level: 2.6 states/eV/f.u.
space group: No. 38

---

A relaxed structure of TbZn2SiRh4. Source: Alexandria via LeMat-Bulk, functional PBE.

```
TbZn2SiRh4
1.0
2.192 1.265 7.268
-2.192 1.265 7.268
0.000 -2.531 7.268
Tb Zn Si Rh
1 2 1 4
Cartesian
0.000 0.000 0.000
0.000 0.000 5.499
0.000 0.000 16.304
0.000 0.000 10.902
0.000 0.000 2.892
0.000 0.000 8.535
0.000 0.000 13.268
0.000 0.000 18.912
```

density of states at the Fermi level: 2.2 states/eV/f.u.
space group: No. 166

---

A relaxed structure of TbZn2SiRh. Source: Alexandria via LeMat-Bulk, functional PBE.

```
TbZn2SiRh
1.0
3.813 0.000 0.000
0.000 4.153 0.000
0.000 0.000 10.943
Tb Zn Si Rh
2 4 2 2
Cartesian
0.000 0.000 0.000
1.906 2.076 5.472
0.000 0.000 6.732
0.000 2.076 2.880
1.906 0.000 8.351
1.906 2.076 1.260
0.000 0.000 4.295
1.906 2.076 9.767
0.000 2.076 8.349
1.906 0.000 2.878
```

density of states at the Fermi level: 3.1 states/eV/f.u.
space group: No. 44

---

A relaxed structure of Tb2ZrSi2Rh5. Source: Alexandria via LeMat-Bulk, functional PBE.

```
Tb2ZrSi2Rh5
1.0
9.815 0.000 0.000
0.000 9.815 0.000
0.000 0.000 3.569
Tb Zr Si Rh
4 2 4 10
Cartesian
1.713 3.195 0.000
3.195 8.102 0.000
6.620 1.713 0.000
8.102 6.620 0.000
0.000 0.000 0.000
4.907 4.907 0.000
1.197 6.105 0.000
3.710 1.197 0.000
6.105 8.617 0.000
8.617 3.710 0.000
0.000 4.907 1.785
0.682 7.698 1.785
2.117 0.682 1.785
2.790 5.590 1.785
4.225 2.790 1.785
4.907 0.000 1.785
5.590 7.024 1.785
7.024 4.225 1.785
7.698 9.132 1.785
9.132 2.117 1.785
```

density of states at the Fermi level: 2.2 states/eV/f.u.
space group: No. 127

---

A relaxed structure of Si2TcRh2. Source: Alexandria via LeMat-Bulk, functional PBE.

```
Si2TcRh2
1.0
3.622 0.000 0.000
0.000 3.622 0.000
0.000 0.000 11.325
Si Tc Rh
4 2 4
Cartesian
0.000 1.811 2.831
0.000 1.811 8.494
1.811 0.000 2.831
1.811 0.000 8.494
0.000 0.000 0.000
1.811 1.811 5.662
0.000 0.000 4.383
0.000 0.000 6.941
1.811 1.811 1.279
1.811 1.811 10.046
```

density of states at the Fermi level: 4.1 states/eV/f.u.
space group: No. 139

---

A relaxed structure of SiTcRh2. Source: Alexandria via LeMat-Bulk, functional PBE.

```
SiTcRh2
1.0
2.850 0.000 0.000
0.000 2.850 0.000
0.000 0.000 6.771
Si Tc Rh
1 1 2
Cartesian
0.000 0.000 0.000
1.425 1.425 1.625
0.000 0.000 3.329
1.425 1.425 5.431
```

density of states at the Fermi level: 1.5 states/eV/f.u.
space group: No. 99

---

A relaxed structure of SiTc2Rh. Source: Alexandria via LeMat-Bulk, functional PBE.

```
SiTc2Rh
1.0
2.779 0.000 0.000
-1.389 2.406 0.000
0.000 0.000 25.111
Si Tc Rh
3 6 3
Cartesian
0.000 0.000 0.000
0.000 1.604 16.741
1.389 0.802 8.370
0.000 0.000 6.309
0.000 0.000 12.567
0.000 1.604 4.197
0.000 1.604 23.050
1.389 0.802 14.679
1.389 0.802 20.937
0.000 0.000 18.605
0.000 1.604 10.235
1.389 0.802 1.864
```

density of states at the Fermi level: 1.1 states/eV/f.u.
space group: No. 160

---

A relaxed structure of SiTcRh2. Source: Alexandria via LeMat-Bulk, functional PBE.

```
SiTcRh2
1.0
3.307 0.000 0.000
0.000 4.056 0.000
0.000 0.000 4.143
Si Tc Rh
1 1 2
Cartesian
0.000 0.000 0.000
1.654 0.000 2.071
0.000 2.028 2.071
1.654 2.028 0.000
```

density of states at the Fermi level: 4.1 states/eV/f.u.
space group: No. 47

---

Raw formation energy? In order: -0.891, -0.866, -0.855, -0.844, -0.690, -0.586, -0.984, -0.080, -0.399, -0.238, -0.167 eV/atom.
E_tot? In order: -7.71, -6.79, -6.32, -6.81, -5.94, -4.58, -7.53, -7.26, -8.02, -8.61, -7.79 eV/atom.